A plane-wave DFT calculation with PBE-GGA was carried out for an optimized crystal structure of La2CeTe4.

a = 4.437 Å, b = 7.898 Å, c = 15.376 Å
α = 90.00°, β = 90.00°, γ = 106.31°
Each line ends with the local moment (μB).
Fractional positions:
La1 0.132 0.264 0.069  0.02
Te1 0.222 0.445 0.625  -0.01
La2 0.132 0.264 0.431  0.02
Te2 0.778 0.555 0.375  -0.01
Te3 0.500 0.000 0.000  0.00
La3 0.868 0.736 0.569  0.02
Te4 0.222 0.445 0.875  -0.01
Te5 0.029 0.059 0.250  -0.01
La4 0.868 0.736 0.931  0.02
Te6 0.778 0.555 0.125  -0.01
Te7 0.500 0.000 0.500  0.00
Te8 0.971 0.941 0.750  -0.01
Ce1 0.376 0.752 0.250  1.12
Ce2 0.624 0.248 0.750  1.12

Output
Polymorph energy (0 for the lowest one) in meV/atom: 57
E_form (uncorrected) in eV/f.u.: -10.339
Space group: Cmcm (63)

***

A plane-wave DFT calculation with PBE-GGA was carried out for an optimized crystal structure of La2CeTe4.

a = 8.353 Å, b = 8.353 Å, c = 8.353 Å
α = 109.45°, β = 109.45°, γ = 109.51°
Each line ends with the local moment (μB).
Fractional positions:
Te1 0.528 0.778 0.401  -0.01
La1 0.001 0.875 0.626  0.10
La2 0.125 0.751 0.126  0.10
Ce1 0.500 0.500 0.000  1.14
Te2 0.722 0.623 0.749  -0.01
La3 0.625 0.999 0.874  0.10
Te3 0.028 0.278 0.901  -0.01
Te4 0.222 0.623 0.751  -0.01
Te5 0.377 0.127 0.099  -0.01
La4 0.249 0.375 0.374  0.10
Te6 0.377 0.127 0.599  -0.01
Te7 0.873 0.472 0.249  -0.01
Te8 0.873 0.972 0.251  -0.01
Ce2 0.750 0.250 0.500  1.14

Output
Polymorph energy (0 for the lowest one) in meV/atom: 0
E_form (uncorrected) in eV/f.u.: -10.737
Space group: I-42d (122)

***

A plane-wave DFT calculation with PBE-GGA was carried out for an optimized crystal structure of La3CeTe6.

a = 8.519 Å, b = 7.570 Å, c = 11.644 Å
α = 90.90°, β = 90.00°, γ = 90.00°
Each line ends with the local moment (μB).
Fractional positions:
Te1 0.441 0.665 0.253  -0.01
Te2 0.059 0.165 0.753  -0.01
La1 0.115 0.449 0.253  0.02
Te3 0.941 0.835 0.247  -0.01
La2 0.000 0.000 0.500  0.01
Te4 0.822 0.336 0.085  -0.01
Te5 0.322 0.164 0.415  -0.01
Te6 0.321 0.160 0.081  -0.01
La3 0.615 0.051 0.247  0.02
La4 0.385 0.949 0.753  0.02
Te7 0.178 0.664 0.915  -0.01
La5 0.885 0.551 0.747  0.02
Te8 0.559 0.335 0.747  -0.01
Te9 0.179 0.660 0.581  -0.01
Te10 0.678 0.836 0.585  -0.01
Te11 0.679 0.840 0.919  -0.01
Ce1 0.500 0.500 0.500  0.97
Te12 0.821 0.340 0.419  -0.01
La6 0.500 0.500 0.000  0.01
Ce2 0.000 0.000 0.000  0.97

Output
Polymorph energy (0 for the lowest one) in meV/atom: 0
E_form (uncorrected) in eV/f.u.: -14.633
Space group: P2_1/c (14)

***

A plane-wave DFT calculation with PBE-GGA was carried out for an optimized crystal structure of LaCeTe2.

a = 5.522 Å, b = 5.522 Å, c = 5.522 Å
α = 60.00°, β = 60.00°, γ = 60.00°
Each line ends with the local moment (μB).
Fractional positions:
Te1 0.250 0.250 0.250  -0.03
Te2 0.750 0.750 0.750  -0.03
Ce1 0.500 0.500 0.500  1.16
La1 0.000 0.000 0.000  0.26

Output
Polymorph energy (0 for the lowest one) in meV/atom: 139
E_form (uncorrected) in eV/f.u.: -5.368
Space group: Fm-3m (225)

***

A plane-wave DFT calculation with PBE-GGA was carried out for an optimized crystal structure of LaCe3Te6.

a = 4.504 Å, b = 12.740 Å, c = 13.202 Å
α = 108.74°, β = 90.00°, γ = 90.00°
Each line ends with the local moment (μB).
Fractional positions:
Ce1 0.750 0.432 0.832  0.93
Te1 0.750 0.116 0.466  -0.01
Te2 0.750 0.746 0.277  -0.02
Ce2 0.250 0.316 0.499  0.91
Te3 0.750 0.914 0.100  0.02
La1 0.250 0.954 0.306  0.00
Ce3 0.750 0.684 0.501  0.91
Te4 0.250 0.884 0.534  -0.01
Te5 0.750 0.486 0.617  -0.03
Te6 0.750 0.394 0.059  -0.01
Te7 0.750 0.808 0.749  0.01
Te8 0.250 0.086 0.900  0.02
La2 0.750 0.046 0.694  0.00
Te9 0.250 0.254 0.723  -0.02
Te10 0.250 0.192 0.251  0.01
Ce4 0.250 0.568 0.168  0.93
Te11 0.250 0.606 0.941  -0.01
Ce5 0.250 0.845 0.919  -0.90
Te12 0.250 0.514 0.383  -0.03
Ce6 0.750 0.155 0.081  -0.90

Output
E_form (uncorrected) in eV/f.u.: -13.901
Space group: P2_1/m (11)

***

A plane-wave DFT calculation with PBE-GGA was carried out for an optimized crystal structure of LaCe2Te4.

a = 8.307 Å, b = 8.307 Å, c = 8.307 Å
α = 109.50°, β = 109.40°, γ = 109.50°
Each line ends with the local moment (μB).
Fractional positions:
La1 0.750 0.500 0.250  0.12
Te1 0.127 0.404 0.377  -0.02
Te2 0.973 0.596 0.723  -0.02
La2 0.000 0.000 0.000  0.12
Te3 0.127 0.904 0.377  -0.02
Te4 0.277 0.250 0.873  -0.02
Te5 0.623 0.750 0.027  -0.02
Ce1 0.375 0.876 0.751  1.14
Ce2 0.875 0.124 0.499  1.14
Te6 0.473 0.096 0.223  -0.02
Ce3 0.501 0.376 0.625  1.14
Ce4 0.249 0.624 0.125  1.14
Te7 0.777 0.250 0.873  -0.02
Te8 0.623 0.750 0.527  -0.02

Output
Polymorph energy (0 for the lowest one) in meV/atom: 0
E_form (uncorrected) in eV/f.u.: -10.255
Space group: I-42d (122)